# HfAs2Rh2 (PBE, optimized geometry)
# size of the total moment: 0.00 μB/f.u.
# N(E_F): 3.8 states/eV/f.u.
# ΔE_f: -0.4157 eV/atom
# calculated total energy: -7.21 eV per atom
data_HfAs2Rh2
_chemical_formula_sum 'Hf2 As4 Rh4'
_symmetry_space_group_name_H-M 'P 4/m b m'
_symmetry_Int_Tables_number 127
_symmetry_space_group_name_Hall '-P 4 2ab'
_cell_length_a 7.370
_cell_length_b 7.370
_cell_length_c 3.009
_cell_angle_alpha 90.00
_cell_angle_beta 90.00
_cell_angle_gamma 90.00
loop_
_atom_site_label
_atom_site_type_symbol
_atom_site_fract_x
_atom_site_fract_y
_atom_site_fract_z
Hf1 Hf 0.000 0.000 0.000
As1 As 0.152 0.348 0.000
Rh1 Rh 0.148 0.648 0.500